Crystalline NaTl2Se2 at its relaxed geometry, computed with PBE.

**Energy relative to the elements, uncorrected**: -0.366 eV/atom
**Spin magnetization**: 0.0 Bohr magnetons per cell
**Polymorph energy (0 for the lowest one)**: 0.141 eV per atom

```
NaTl2Se2
1.0
-2.8200 2.8200 4.8146
2.8200 -2.8200 4.8146
2.8200 2.8200 -4.8146
Na Tl Se
1 2 2
direct
0.0000 0.0000 0.0000
0.3441 0.3441 0.0000
0.6559 0.6559 0.0000
0.2500 0.7500 0.5000
0.7500 0.2500 0.5000
```

---

Crystalline NaTlSe at its relaxed geometry, computed with PBE.

**Energy relative to the elements, uncorrected**: -0.554 eV/atom
**Spin magnetization**: 0.0 Bohr magnetons per cell
**Polymorph energy (0 for the lowest one)**: 0.167 eV per atom

```
NaTlSe
1.0
-1.9469 1.9469 5.4593
1.9469 -1.9469 5.4593
1.9469 1.9469 -5.4593
Na Tl Se
1 1 1
direct
0.0000 0.0000 0.0000
0.2813 0.2813 0.0000
0.6364 0.6364 0.0000
```

---

Crystalline NaTlSe at its relaxed geometry, computed with PBE.

**Energy relative to the elements, uncorrected**: -0.721 eV/atom
**Spin magnetization**: 0.0 Bohr magnetons per cell
**Polymorph energy (0 for the lowest one)**: 0.000 eV per atom

```
NaTlSe
1.0
10.0231 0.0000 0.0000
0.0000 4.7044 0.0000
0.0000 0.0000 7.5938
Na Tl Se
4 4 4
direct
0.1205 0.2500 0.1019
0.3795 0.7500 0.6019
0.6205 0.2500 0.3981
0.8795 0.7500 0.8981
0.0883 0.2500 0.6298
0.4117 0.7500 0.1298
0.5883 0.2500 0.8702
0.9117 0.7500 0.3702
0.1775 0.7500 0.8770
0.3225 0.2500 0.3770
0.6775 0.7500 0.6230
0.8225 0.2500 0.1230
```

---

Crystalline Na8TlSe6 at its relaxed geometry, computed with PBE.

**Energy relative to the elements, uncorrected**: -0.801 eV/atom
**Spin magnetization**: 0.0 Bohr magnetons per cell

```
Na8TlSe6
1.0
7.4930 0.0000 0.0000
0.0000 8.9717 0.0000
0.0000 0.0000 12.7266
Na Tl Se
16 2 12
direct
0.0000 0.1056 0.0000
0.0000 0.2394 0.4215
0.2107 0.5726 0.7699
0.2162 0.9497 0.7626
0.2263 0.7351 0.0991
0.2737 0.2649 0.5991
0.2838 0.0503 0.2626
0.2893 0.4274 0.2699
0.5000 0.7606 0.9215
0.5000 0.8944 0.5000
0.7107 0.4274 0.2699
0.7162 0.0503 0.2626
0.7263 0.2649 0.5991
0.7737 0.7351 0.0991
0.7838 0.9497 0.7626
0.7893 0.5726 0.7699
0.0000 0.7427 0.4624
0.5000 0.2573 0.9624
0.0000 0.0019 0.5720
0.0000 0.2417 0.2049
0.0000 0.4924 0.5772
0.0000 0.7817 0.9174
0.2074 0.2591 0.8273
0.2926 0.7409 0.3273
0.5000 0.2183 0.4174
0.5000 0.5076 0.0772
0.5000 0.7583 0.7049
0.5000 0.9981 0.0720
0.7074 0.7409 0.3273
0.7926 0.2591 0.8273
```

---

Crystalline NaTl6Se4 at its relaxed geometry, computed with PBE.

**Energy relative to the elements, uncorrected**: -0.416 eV/atom
**Spin magnetization**: 0.0 Bohr magnetons per cell

```
NaTl6Se4
1.0
10.5611 0.0000 0.0000
-5.2805 9.1461 0.0000
0.0000 0.0000 7.2877
Na Tl Se
2 12 8
direct
0.3333 0.6667 0.0000
0.6667 0.3333 0.5000
0.0616 0.5308 0.6314
0.1545 0.3089 0.2963
0.1545 0.8455 0.2963
0.3089 0.1545 0.7963
0.4692 0.5308 0.6314
0.4692 0.9384 0.6314
0.5308 0.0616 0.1314
0.5308 0.4692 0.1314
0.6911 0.8455 0.2963
0.8455 0.1545 0.7963
0.8455 0.6911 0.7963
0.9384 0.4692 0.1314
0.1810 0.3620 0.8698
0.1810 0.8190 0.8698
0.3333 0.6667 0.3922
0.3620 0.1810 0.3698
0.6380 0.8190 0.8698
0.6667 0.3333 0.8922
0.8190 0.1810 0.3698
0.8190 0.6380 0.3698
```

---

Crystalline NaTlSe2 at its relaxed geometry, computed with PBE.

**Energy relative to the elements, uncorrected**: -0.553 eV/atom
**Spin magnetization**: 0.0 Bohr magnetons per cell

```
NaTlSe2
1.0
4.5401 0.0000 0.0000
-0.1230 7.2422 0.0000
-0.3217 -2.9926 7.4821
Na Tl Se
2 2 4
direct
0.0000 0.0000 0.0000
0.0097 0.4113 0.7665
0.5415 0.0090 0.3973
0.5460 0.4767 0.2521
0.0508 0.2822 0.3748
0.4059 0.8042 0.7100
0.5026 0.1637 0.8386
0.5263 0.6872 0.9531
```

---

Crystalline NaTlSe2 at its relaxed geometry, computed with PBE.

**Energy relative to the elements, uncorrected**: -0.453 eV/atom
**Spin magnetization**: 0.0 Bohr magnetons per cell

```
NaTlSe2
1.0
6.7331 0.0000 0.0000
0.0000 9.1397 0.0000
0.0000 0.0000 6.8574
Na Tl Se
4 4 8
direct
0.0000 0.1489 0.2500
0.0000 0.8511 0.7500
0.5000 0.3511 0.7500
0.5000 0.6489 0.2500
0.0000 0.2624 0.7500
0.0000 0.7376 0.2500
0.5000 0.2376 0.2500
0.5000 0.7624 0.7500
0.2129 0.4021 0.0541
0.2129 0.5979 0.5541
0.2871 0.0979 0.5541
0.2871 0.9021 0.0541
0.7129 0.0979 0.9459
0.7129 0.9021 0.4459
0.7871 0.4021 0.4459
0.7871 0.5979 0.9459
```

---

Crystalline NaTlSe2 at its relaxed geometry, computed with PBE.

**Energy relative to the elements, uncorrected**: -0.445 eV/atom
**Spin magnetization**: 0.2 Bohr magnetons per cell

```
NaTlSe2
1.0
4.2134 0.0000 0.0000
0.0000 4.2134 0.0000
0.0000 0.0000 5.7964
Na Tl Se
1 1 2
direct
0.0000 0.0000 0.0000
0.5000 0.5000 0.5000
0.0000 0.0000 0.5000
0.5000 0.5000 0.0000
```